# Y2SeCl, optimized geometry, DFT GGA-PBE
data_Y2SeCl
_chemical_formula_sum 'Y2 Se1 Cl1'
_cell_length_a 10.014
_cell_length_b 10.014
_cell_length_c 10.014
_cell_angle_alpha 22.75
_cell_angle_beta 22.75
_cell_angle_gamma 22.75
_symmetry_space_group_name_H-M 'P 1'
_symmetry_Int_Tables_number 1
loop_
_symmetry_equiv_pos_as_xyz
'x,y,z'
loop_
_atom_site_label
_atom_site_fract_x
_atom_site_fract_y
_atom_site_fract_z
Cl1 0.518 0.518 0.518
Se1 0.730 0.730 0.730
Y1 0.012 0.012 0.012
Y2 0.240 0.240 0.240
# Symmetry: R3m, No. 160
# E above lowest polymorph (meV/atom): 202
# E_tot (eV for the cell shown): -23.4
# Uncorrected formation energy (eV/atom): -1.280